a.
Entry from Alexandria via LeMat-Bulk: V3BIr after structural relaxation (PBE).

Cell and atoms, written as POSCAR:
```
V3BIr
1.0
4.0030 0.0000 0.0000
0.0000 4.0030 0.0000
0.0000 0.0000 4.0030
V B Ir
3 1 1
Direct
0.0000 0.0000 0.5000 V
0.0000 0.5000 0.0000 V
0.5000 0.0000 0.0000 V
0.0000 0.0000 0.0000 B
0.5000 0.5000 0.5000 Ir
```

Properties
Magnetic moment   0.61 μB/cell
Space-group type   Pm-3m, No. 221

b.
Entry from Alexandria via LeMat-Bulk: V3BIr after structural relaxation (PBE).

Cell and atoms, written as POSCAR:
```
V3BIr
1.0
4.5465 0.0000 0.0000
0.0000 4.5465 0.0000
0.0000 0.0000 4.5465
V B Ir
3 1 1
Direct
0.0000 0.0000 0.5000 V
0.0000 0.5000 0.0000 V
0.5000 0.0000 0.0000 V
0.5000 0.5000 0.5000 B
0.0000 0.0000 0.0000 Ir
```

Properties
Magnetic moment   0.65 μB/cell
Space-group type   Pm-3m, No. 221

Calculated relative energies: a 0.0; b 176.2, given in kJ/mol of atoms